Record 1
Entry from Alexandria via LeMat-Bulk: crystalline AlFeW3 at its relaxed geometry (GGA-PBEsol).

Summary:
- calculated volume (Å³ per cell) = 85.9
- ΔH_f (0 K) (eV per atom) = 1.266
- polymorph energy (0 for the lowest one) (meV/atom) = 0.0
- space group = Pm-3m, No. 221
- size of the total moment (μB/f.u.) = 0.00
- N(E_F) (states/eV per atom) = 0.85

a = 4.413 Å, b = 4.413 Å, c = 4.413 Å
α = 90.00°, β = 90.00°, γ = 90.00°
Fractional positions:
W 0.000 0.000 0.500
W 0.500 0.000 0.000
W 0.000 0.500 0.000
Fe 0.000 0.000 0.000
Al 0.500 0.500 0.500


Record 2
Entry from Alexandria via LeMat-Bulk: crystalline AlFe3W at its relaxed geometry (GGA-PBEsol).

Summary:
- calculated volume (Å³ per cell) = 83.9
- ΔH_f (0 K) (eV per atom) = 1.552
- space group = Pm-3m, No. 221
- size of the total moment (μB/f.u.) = 3.43
- N(E_F) (states/eV per atom) = 1.36

a = 4.378 Å, b = 4.378 Å, c = 4.378 Å
α = 90.00°, β = 90.00°, γ = 90.00°
Last column: magnetic moment on the atom in μB.
Fractional positions:
Fe 0.000 0.000 0.500  1.34
Fe 0.500 0.000 0.000  1.34
Fe 0.000 0.500 0.000  1.34
W 0.000 0.000 0.000  -0.43
Al 0.500 0.500 0.500  -0.04


Record 3
Entry from Alexandria via LeMat-Bulk: crystalline Y2AlFe at its relaxed geometry (GGA-PBEsol).

Summary:
- calculated volume (Å³ per cell) = 76.9
- ΔH_f (0 K) (eV per atom) = 0.097
- space group = F-43m, No. 216
- size of the total moment (μB/f.u.) = 0.98
- N(E_F) (states/eV per atom) = 1.37

a = 4.773 Å, b = 4.773 Å, c = 4.773 Å
α = 60.00°, β = 60.00°, γ = 60.00°
Last column: magnetic moment on the atom in μB.
Fractional positions:
Y 0.250 0.250 0.250  -0.28
Y 0.000 0.000 0.000  -0.24
Al 0.500 0.500 0.500  -0.01
Fe 0.750 0.750 0.750  1.60


Record 4
Entry from Alexandria via LeMat-Bulk: crystalline YAl4Fe8 at its relaxed geometry (GGA-PBEsol).

Summary:
- calculated volume (Å³ per cell) = 168.7
- ΔH_f (0 K) (eV per atom) = -0.212
- space group = I4/mmm, No. 139
- size of the total moment (μB/f.u.) = 13.81
- N(E_F) (states/eV per atom) = 0.95

a = 4.841 Å, b = 6.380 Å, c = 6.380 Å
α = 81.73°, β = 67.71°, γ = 67.71°
Last column: magnetic moment on the atom in μB.
Fractional positions:
Al 0.345 0.655 0.655  -0.06
Al 0.655 0.345 0.345  -0.06
Al 0.000 0.655 0.345  -0.06
Al 0.000 0.345 0.655  -0.06
Fe 0.000 0.000 0.500  1.74
Fe 0.729 0.771 0.771  1.93
Fe 0.500 0.500 0.000  1.74
Fe 0.500 0.229 0.771  1.93
Fe 0.000 0.500 0.000  1.74
Fe 0.500 0.000 0.500  1.74
Fe 0.271 0.229 0.229  1.93
Fe 0.500 0.771 0.229  1.93
Y 0.000 0.000 0.000  -0.23


Record 5
Entry from Alexandria via LeMat-Bulk: crystalline Y2Al3Fe14 at its relaxed geometry (GGA-PBEsol).

Summary:
- calculated volume (Å³ per cell) = 487.0
- ΔH_f (0 K) (eV per atom) = -0.093
- space group = P6_3/mmc, No. 194
- size of the total moment (μB/f.u.) = 24.65
- N(E_F) (states/eV per atom) = 1.04

a = 8.161 Å, b = 8.300 Å, c = 8.300 Å
α = 120.00°, β = 90.00°, γ = 90.00°
Last column: magnetic moment on the atom in μB.
Fractional positions:
Fe 0.114 0.333 0.667  2.30
Fe 0.250 0.321 0.969  2.00
Fe 0.250 0.031 0.353  2.00
Fe 0.250 0.321 0.353  2.00
Fe 0.513 0.163 0.837  1.57
Fe 0.987 0.675 0.837  1.57
Fe 0.487 0.325 0.163  1.57
Fe 0.750 0.969 0.321  2.00
Fe 0.750 0.679 0.031  2.00
Fe 0.987 0.163 0.325  1.57
Fe 0.250 0.031 0.679  2.00
Fe 0.013 0.837 0.163  1.57
Fe 0.487 0.837 0.675  1.57
Fe 0.250 0.647 0.679  2.00
Fe 0.614 0.667 0.333  2.30
Fe 0.750 0.353 0.031  2.00
Fe 0.386 0.333 0.667  2.30
Fe 0.750 0.679 0.647  2.00
Fe 0.750 0.353 0.321  2.00
Fe 0.513 0.163 0.325  1.57
Fe 0.750 0.969 0.647  2.00
Fe 0.987 0.163 0.837  1.57
Fe 0.013 0.325 0.163  1.57
Fe 0.886 0.667 0.333  2.30
Fe 0.487 0.837 0.163  1.57
Fe 0.250 0.647 0.969  2.00
Fe 0.013 0.837 0.675  1.57
Fe 0.513 0.675 0.837  1.57
Al 0.500 0.000 0.500  -0.07
Al 0.500 0.500 0.500  -0.07
Al 0.000 0.000 0.500  -0.07
Al 0.000 0.500 0.500  -0.07
Al 0.500 0.500 0.000  -0.07
Al 0.000 0.500 0.000  -0.07
Y 0.250 0.667 0.333  -0.28
Y 0.750 0.333 0.667  -0.28
Y 0.250 0.000 0.000  -0.23
Y 0.750 0.000 0.000  -0.23


Record 6
Entry from Alexandria via LeMat-Bulk: crystalline Y2AlFe at its relaxed geometry (GGA-PBEsol).

Summary:
- calculated volume (Å³ per cell) = 82.8
- ΔH_f (0 K) (eV per atom) = -0.063
- space group = Imm2, No. 44
- size of the total moment (μB/f.u.) = 1.36
- N(E_F) (states/eV per atom) = 1.20

a = 3.336 Å, b = 4.842 Å, c = 5.907 Å
α = 114.20°, β = 106.40°, γ = 90.00°
Last column: magnetic moment on the atom in μB.
Fractional positions:
Y 0.759 0.259 0.517  -0.18
Y 0.962 0.962 0.924  -0.08
Al 0.552 0.552 0.104  0.00
Fe 0.228 0.728 0.455  1.67


Record 7
Entry from Alexandria via LeMat-Bulk: crystalline YAlFe2 at its relaxed geometry (GGA-PBEsol).

Summary:
- calculated volume (Å³ per cell) = 63.1
- ΔH_f (0 K) (eV per atom) = 0.155
- space group = I-4m2, No. 119
- size of the total moment (μB/f.u.) = 3.93
- N(E_F) (states/eV per atom) = 1.01

a = 4.025 Å, b = 4.025 Å, c = 4.822 Å
α = 114.67°, β = 114.67°, γ = 90.00°
Last column: magnetic moment on the atom in μB.
Fractional positions:
Fe 0.750 0.250 0.500  2.32
Fe 0.000 0.000 0.000  1.97
Y 0.500 0.500 0.000  -0.23
Al 0.250 0.750 0.500  -0.04


Record 8
Entry from Alexandria via LeMat-Bulk: crystalline YAlFe2 at its relaxed geometry (GGA-PBEsol).

Summary:
- calculated volume (Å³ per cell) = 63.2
- ΔH_f (0 K) (eV per atom) = -0.061
- space group = P4mm, No. 99
- size of the total moment (μB/f.u.) = 4.00
- N(E_F) (states/eV per atom) = 0.72

a = 3.034 Å, b = 3.034 Å, c = 6.867 Å
α = 90.00°, β = 90.00°, γ = 90.00°
Last column: magnetic moment on the atom in μB.
Fractional positions:
Fe 0.000 0.000 0.020  2.10
Fe 0.500 0.500 0.189  2.29
Al 0.500 0.500 0.816  -0.02
Y 0.000 0.000 0.475  -0.28


Record 9
Entry from Alexandria via LeMat-Bulk: crystalline YAl2Fe10 at its relaxed geometry (GGA-PBEsol).

Summary:
- calculated volume (Å³ per cell) = 322.8
- ΔH_f (0 K) (eV per atom) = -0.080
- space group = Cmcm, No. 63
- size of the total moment (μB/f.u.) = 18.52
- N(E_F) (states/eV per atom) = 0.91

a = 6.334 Å, b = 6.334 Å, c = 8.135 Å
α = 90.00°, β = 90.00°, γ = 98.47°
Last column: magnetic moment on the atom in μB.
Fractional positions:
Fe 0.854 0.146 0.606  1.99
Fe 0.399 0.601 0.579  2.23
Fe 0.513 0.758 0.250  2.23
Fe 0.146 0.854 0.394  1.99
Fe 0.767 0.767 0.500  1.69
Fe 0.854 0.146 0.894  1.99
Fe 0.487 0.242 0.750  2.23
Fe 0.372 0.141 0.250  1.50
Fe 0.767 0.767 0.000  1.69
Fe 0.242 0.487 0.250  2.23
Fe 0.758 0.513 0.750  2.23
Fe 0.233 0.233 0.000  1.69
Fe 0.141 0.372 0.750  1.50
Fe 0.859 0.628 0.250  1.50
Fe 0.628 0.859 0.750  1.50
Fe 0.233 0.233 0.500  1.69
Fe 0.601 0.399 0.079  2.23
Fe 0.146 0.854 0.106  1.99
Fe 0.601 0.399 0.421  2.23
Fe 0.399 0.601 0.921  2.23
Al 0.000 0.500 0.000  -0.07
Al 0.000 0.500 0.500  -0.07
Al 0.500 0.000 0.000  -0.07
Al 0.500 0.000 0.500  -0.07
Y 0.870 0.130 0.250  -0.26
Y 0.130 0.870 0.750  -0.26


Record 10
Entry from Alexandria via LeMat-Bulk: crystalline Y2Al3Fe at its relaxed geometry (GGA-PBEsol).

Summary:
- calculated volume (Å³ per cell) = 111.5
- ΔH_f (0 K) (eV per atom) = -0.407
- space group = R-3m, No. 166
- size of the total moment (μB/f.u.) = 1.84
- N(E_F) (states/eV per atom) = 0.84

a = 5.341 Å, b = 5.341 Å, c = 5.341 Å
α = 61.57°, β = 61.57°, γ = 61.57°
Last column: magnetic moment on the atom in μB.
Fractional positions:
Al 0.000 0.000 0.500  -0.01
Al 0.000 0.500 0.000  -0.01
Al 0.500 0.000 0.000  -0.01
Fe 0.000 0.000 0.000  2.03
Y 0.374 0.374 0.374  -0.06
Y 0.626 0.626 0.626  -0.06


Record 11
Entry from Alexandria via LeMat-Bulk: crystalline AlZnFe at its relaxed geometry (GGA-PBEsol).

Summary:
- calculated volume (Å³ per cell) = 45.4
- ΔH_f (0 K) (eV per atom) = 0.274
- space group = F-43m, No. 216
- size of the total moment (μB/f.u.) = 1.56
- N(E_F) (states/eV per atom) = 1.46

a = 4.004 Å, b = 4.004 Å, c = 4.004 Å
α = 60.00°, β = 60.00°, γ = 60.00°
Last column: magnetic moment on the atom in μB.
Fractional positions:
Fe 0.250 0.250 0.250  1.69
Zn 0.000 0.000 0.000  -0.03
Al 0.500 0.500 0.500  -0.04


Record 12
Entry from Alexandria via LeMat-Bulk: crystalline Al2ZnFe at its relaxed geometry (GGA-PBEsol).

Summary:
- calculated volume (Å³ per cell) = 51.2
- ΔH_f (0 K) (eV per atom) = -0.127
- space group = P4/mmm, No. 123
- size of the total moment (μB/f.u.) = 0.86
- N(E_F) (states/eV per atom) = 0.62

a = 3.207 Å, b = 3.998 Å, c = 3.998 Å
α = 90.00°, β = 90.00°, γ = 90.00°
Last column: magnetic moment on the atom in μB.
Fractional positions:
Al 0.000 0.500 0.000  -0.01
Al 0.000 0.000 0.500  -0.01
Zn 0.500 0.000 0.000  -0.01
Fe 0.500 0.500 0.500  0.93


- What is the ΔH_f (0 K) in the sixth record?
  -0.063 eV per atom